Entry 1:
DFT (PBEsol) results for crystalline ScTlRh2 at its relaxed geometry.

The structure in POSCAR format:
```
ScTlRh2
1.0
4.526 0.000 0.000
2.263 3.920 0.000
2.263 1.307 3.695
Rh Tl Sc
2 1 1
direct
0.750 0.750 0.750 Rh
0.250 0.250 0.250 Rh
0.000 0.000 0.000 Tl
0.500 0.500 0.500 Sc
```

Its space-group type is Fm-3m. The calculation puts the volume at 16.4 Å³/atom. Its total energy is -6.970 eV per atom.

=====

Entry 2:
DFT (PBEsol) results for crystalline KLi3Ni at its relaxed geometry.

The structure in POSCAR format:
```
KLi3Ni
1.0
-4.470 1.080 1.635
1.468 -0.852 4.576
1.298 4.683 0.455
K Li Ni
1 3 1
direct
0.500 0.500 0.500 K
0.500 0.000 0.000 Li
0.000 0.000 0.500 Li
0.000 0.500 0.000 Li
0.000 0.000 0.000 Ni
```

Its space-group type is Pm-3m. The calculation puts the volume at 23.3 Å³/atom. Its total energy is -2.332 eV per atom.

=====

Entry 3:
DFT (PBEsol) results for crystalline ScTc2Ir at its relaxed geometry.

The structure in POSCAR format:
```
ScTc2Ir
1.0
3.046 0.000 0.000
0.000 4.320 0.000
0.000 0.000 4.563
Ir Sc Tc
1 1 2
direct
0.500 0.000 0.500 Ir
0.000 0.500 0.500 Sc
0.000 0.000 0.000 Tc
0.500 0.500 0.000 Tc
```

Its space-group type is Pmmm. The calculation puts the volume at 15.0 Å³/atom. Its total energy is -9.911 eV per atom.

=====

Entry 4:
DFT (PBEsol) results for crystalline Rb2TlAu2 at its relaxed geometry.

The structure in POSCAR format:
```
Rb2TlAu2
1.0
5.210 0.000 0.000
0.000 7.691 0.000
0.000 0.000 7.691
Tl Rb Au
2 4 4
direct
0.000 0.000 0.000 Tl
0.000 0.500 0.500 Tl
0.500 0.671 0.829 Rb
0.500 0.329 0.171 Rb
0.500 0.171 0.671 Rb
0.500 0.829 0.329 Rb
0.000 0.371 0.871 Au
0.000 0.629 0.129 Au
0.000 0.871 0.629 Au
0.000 0.129 0.371 Au
```

Its space-group type is P4/mbm. The calculation puts the volume at 30.8 Å³/atom. Its total energy is -2.617 eV per atom.

=====

Entry 5:
DFT (PBEsol) results for crystalline Na3Cu2O4 at its relaxed geometry.

The structure in POSCAR format:
```
Na3Cu2O4
1.0
-0.058 -0.601 -5.617
4.328 -6.033 3.153
-9.098 -6.136 0.751
O Cu Na
16 8 12
direct
0.436 0.678 0.204 O
0.064 0.822 0.704 O
0.455 0.693 0.942 O
0.567 0.293 0.548 O
0.045 0.807 0.442 O
0.933 0.207 0.048 O
0.560 0.281 0.307 O
0.067 0.793 0.952 O
0.440 0.719 0.693 O
0.936 0.178 0.296 O
0.564 0.322 0.796 O
0.940 0.219 0.807 O
0.433 0.707 0.452 O
0.060 0.781 0.193 O
0.545 0.307 0.058 O
0.955 0.193 0.558 O
0.739 0.269 0.928 Cu
0.761 0.231 0.428 Cu
0.261 0.731 0.072 Cu
0.760 0.259 0.677 Cu
0.240 0.741 0.323 Cu
0.260 0.759 0.823 Cu
0.239 0.769 0.572 Cu
0.740 0.241 0.177 Cu
0.228 0.117 0.423 Na
0.772 0.883 0.577 Na
0.773 0.882 0.291 Na
0.801 0.947 0.905 Na
0.199 0.053 0.095 Na
0.272 0.383 0.923 Na
0.728 0.617 0.077 Na
0.699 0.553 0.405 Na
0.301 0.447 0.595 Na
0.227 0.118 0.709 Na
0.273 0.382 0.209 Na
0.727 0.618 0.791 Na
```

Its space-group type is P2_1/c. The calculation puts the volume at 13.2 Å³/atom. For the formation energy from raw total energies, the calculation gives -102.12 kJ per mole of atoms.

=====

Entry 6:
DFT (PBEsol) results for crystalline Mg2MnAs at its relaxed geometry.

The structure in POSCAR format:
```
Mg2MnAs
1.0
3.142 0.000 0.000
1.571 2.721 0.000
1.571 0.907 8.496
As Mn Mg
1 1 2
direct
0.237 0.237 0.290 As
0.511 0.511 0.466 Mn
0.761 0.761 0.717 Mg
0.991 0.991 0.027 Mg
```

Its space-group type is R3m. The calculation puts the volume at 18.2 Å³/atom. Its total energy is -4.505 eV per atom.

=====

Entry 7:
DFT (PBEsol) results for crystalline Li8Cu at its relaxed geometry.

The structure in POSCAR format:
```
Li8Cu
1.0
4.274 0.000 0.000
2.137 6.021 0.000
2.137 0.000 6.021
Li Cu
8 1
direct
0.000 0.681 0.319 Li
0.319 0.681 0.681 Li
0.344 0.000 0.312 Li
0.344 0.312 0.000 Li
0.656 0.688 0.000 Li
0.000 0.319 0.681 Li
0.656 0.000 0.688 Li
0.681 0.319 0.319 Li
0.000 0.000 0.000 Cu
```

Its space-group type is I4/mmm. The calculation puts the volume at 17.2 Å³/atom. Its total energy is -2.198 eV per atom.

=====

Entry 8:
DFT (PBEsol) results for crystalline RhPbCl at its relaxed geometry.

The structure in POSCAR format:
```
RhPbCl
1.0
4.494 0.000 0.000
2.247 3.892 0.000
2.247 1.297 3.669
Pb Rh Cl
1 1 1
direct
0.000 0.000 0.000 Pb
0.500 0.500 0.500 Rh
0.750 0.750 0.750 Cl
```

Its space-group type is F-43m. The calculation puts the volume at 21.4 Å³/atom. For the formation energy from raw total energies, the calculation gives 61.43 kJ per mole of atoms.

=====

Entry 9:
DFT (PBEsol) results for crystalline Li3Tl2 at its relaxed geometry.

The structure in POSCAR format:
```
Li3Tl2
1.0
4.660 0.000 0.000
-2.330 4.036 0.000
0.000 0.000 5.801
Li Tl
3 2
direct
0.333 0.667 0.356 Li
0.000 0.000 0.000 Li
0.667 0.333 0.644 Li
0.333 0.667 0.848 Tl
0.667 0.333 0.152 Tl
```

Its space-group type is P-3m1. The calculation puts the volume at 21.8 Å³/atom. Its total energy is -2.437 eV per atom.

=====

Entry 10:
DFT (PBEsol) results for crystalline Sb2HRh at its relaxed geometry.

The structure in POSCAR format:
```
Sb2HRh
1.0
-2.771 0.438 -3.506
-2.941 -3.256 -0.959
-4.389 0.668 0.677
H Sb Rh
1 2 1
direct
0.000 0.000 0.000 H
0.250 0.250 0.250 Sb
0.750 0.750 0.750 Sb
0.500 0.500 0.500 Rh
```

Its space-group type is Fm-3m. The calculation puts the volume at 16.0 Å³/atom. Its total energy is -5.074 eV per atom.

=====

Entry 11:
DFT (PBEsol) results for crystalline K2LaFe at its relaxed geometry.

The structure in POSCAR format:
```
K2LaFe
1.0
5.770 0.000 0.000
2.885 4.997 0.000
2.885 1.666 4.711
K Fe La
2 1 1
direct
0.250 0.250 0.250 K
0.750 0.750 0.750 K
0.000 0.000 0.000 Fe
0.500 0.500 0.500 La
```

Its space-group type is Fm-3m. The calculation puts the volume at 34.0 Å³/atom. Its total energy is -2.859 eV per atom.

=====

Entry 12:
DFT (PBEsol) results for crystalline K2CdPt at its relaxed geometry.

The structure in POSCAR format:
```
K2CdPt
1.0
-3.512 2.997 -0.555
-1.462 -2.437 -3.910
-2.652 -2.126 5.304
K Cd Pt
2 1 1
direct
0.000 0.102 0.204 K
0.500 0.395 0.790 K
0.500 0.698 0.397 Cd
0.000 0.805 0.610 Pt
```

Its space-group type is Amm2. The calculation puts the volume at 32.7 Å³/atom. Its total energy is -2.562 eV per atom.